No. 1
Tl2GaTe | the Alexandria database | PBE | optimized geometry; raw formation energy = -0.10 eV/atom; offset from the most stable computed form = 0.0 meV/atom
1.0
5.105 0.000 0.000
0.000 4.848 0.000
0.000 0.000 4.848
Tl Te Ga
2 1 1
Cartesian
0.000 0.000 2.424
0.000 2.424 0.000
2.553 0.000 0.000
2.553 2.424 2.424



No. 2
TlGaTe2 | the Alexandria database | PBE | optimized geometry; raw formation energy = 0.12 eV/atom
1.0
-7.546 0.377 9.746
-4.688 0.217 11.404
-5.850 3.143 10.391
Tl Te Ga
1 2 1
Cartesian
-9.041 1.869 15.771
-1.479 0.306 2.579
-16.604 3.432 28.962
0.000 0.000 0.000



No. 3
TlGaTe2 | the Alexandria database | PBE | optimized geometry; raw formation energy = -0.06 eV/atom
1.0
-0.555 -10.375 -1.127
1.967 -10.107 1.785
-1.826 -9.982 2.499
Tl Te Ga
1 2 1
Cartesian
0.000 0.000 0.000
-0.368 -27.087 2.806
-0.046 -3.377 0.350
-0.207 -15.232 1.578



No. 4
Tl3Ga2Te4 | the Alexandria database | PBE | optimized geometry; raw formation energy = -0.29 eV/atom; offset from the most stable computed form = 7.0 meV/atom
1.0
4.405 0.000 0.000
0.000 8.040 0.000
0.000 0.000 18.541
Tl Ga Te
6 4 8
Cartesian
0.000 2.672 14.788
2.202 6.692 13.023
0.000 5.367 3.752
2.202 1.347 5.518
0.000 0.000 0.000
2.202 4.020 9.270
0.000 7.046 7.880
2.202 3.026 1.390
0.000 0.994 10.660
2.202 5.014 17.151
2.202 2.285 17.272
2.202 5.755 1.268
0.000 2.108 2.794
0.000 1.735 8.002
2.202 6.128 6.476
0.000 5.932 15.746
0.000 6.305 10.539
2.202 1.912 12.065



No. 5
TlGaTe3 | the Alexandria database | PBE | optimized geometry; raw formation energy = 0.08 eV/atom; offset from the most stable computed form = 302.9 meV/atom
1.0
5.490 0.000 0.000
0.000 5.490 0.000
0.000 0.000 5.490
Tl Te Ga
1 3 1
Cartesian
2.745 2.745 2.745
0.000 2.745 0.000
0.000 0.000 2.745
2.745 0.000 0.000
0.000 0.000 0.000



No. 6
TlGaTe2 | the Alexandria database | PBE | optimized geometry; raw formation energy = -0.30 eV/atom
1.0
4.218 0.006 0.001
0.004 4.218 0.000
-2.110 -2.105 7.393
Tl Ga Te
1 1 2
Cartesian
0.455 3.244 1.689
0.453 1.130 5.383
2.562 1.134 3.724
0.452 -0.979 7.042



No. 7
TlGaTe2 | the Alexandria database | PBE | optimized geometry; raw formation energy = -0.37 eV/atom
1.0
-2.248 -1.879 -6.279
2.401 -5.931 -2.908
-5.710 -4.059 -0.564
Tl Te Ga
2 4 2
Cartesian
-0.562 -0.470 -1.570
-1.686 -1.409 -4.709
-0.115 -3.948 -2.601
-1.595 -7.610 -4.798
-3.962 -4.259 -4.953
-5.442 -7.921 -7.151
-2.216 -5.465 -3.306
-3.340 -6.404 -6.445



No. 8
TlGa2Te3 | the Alexandria database | PBE | optimized geometry; raw formation energy = -0.27 eV/atom
1.0
4.890 0.000 0.000
0.000 7.143 -0.712
-2.445 -2.711 12.498
Tl Ga Te
2 4 6
Cartesian
0.000 -1.027 9.099
2.445 5.459 2.687
0.000 2.844 6.945
2.445 1.588 4.842
2.445 3.376 10.370
0.000 1.057 1.417
0.000 0.471 5.546
0.000 5.531 0.549
0.000 2.329 9.593
2.445 3.961 6.240
2.445 2.103 2.193
2.445 -1.099 11.238



No. 9
Tl5GaTe4 | the Alexandria database | PBE | optimized geometry; raw formation energy = -0.30 eV/atom
1.0
-4.732 -6.122 0.793
6.658 -4.145 7.732
-4.671 4.440 6.402
Tl Ga Te
10 2 8
Cartesian
-3.532 -3.915 4.033
-5.380 -2.159 6.566
-2.553 1.939 3.238
0.503 -6.427 8.718
-1.345 -4.670 11.252
2.417 -3.692 6.874
-0.406 -1.009 10.743
-1.185 -7.913 4.623
-3.029 0.624 7.696
-0.206 -2.059 3.827
-0.687 -0.889 0.115
-3.051 -5.086 7.745
-3.150 -6.527 2.228
-2.724 -0.977 1.821
-5.126 1.305 5.114
0.950 -9.079 6.989
1.970 -1.040 8.604
-1.014 -4.997 6.039
-3.284 -2.840 9.149
-0.588 0.552 5.633



No. 10
TlGaTe3 | the Alexandria database | PBE | optimized geometry; raw formation energy = 0.49 eV/atom; offset from the most stable computed form = 714.7 meV/atom
1.0
-5.512 -0.920 1.605
1.672 -4.637 3.084
0.792 3.385 4.661
Tl Te Ga
1 3 1
Cartesian
0.000 0.000 0.000
0.836 -2.319 1.542
0.396 1.693 2.330
-2.756 -0.460 0.803
-1.524 -1.086 4.675



No. 11
Tl12Ga3Te5 | the Alexandria database | PBE | optimized geometry; raw formation energy = 0.01 eV/atom
1.0
-10.582 8.256 8.426
3.481 -13.453 7.618
13.183 8.607 -1.812
Ga Te Tl
12 20 48
Cartesian
-4.984 2.223 8.950
-5.001 -1.790 12.860
6.881 -1.615 7.741
2.733 3.610 2.379
-5.529 7.694 7.872
1.503 -3.161 7.468
4.578 6.570 6.764
11.610 -4.285 6.360
3.348 -0.201 11.853
-0.800 5.024 6.491
11.082 5.200 1.372
11.065 1.187 5.282
3.278 -1.861 3.457
1.740 -6.727 3.809
0.000 0.000 0.000
-1.450 0.808 4.838
1.300 8.431 3.307
-3.551 -2.599 8.022
6.231 -5.831 6.087
4.033 12.041 5.686
-0.818 1.011 10.401
6.354 7.870 2.753
-0.273 -4.460 11.479
3.041 1.705 7.116
-5.291 4.128 4.213
6.591 4.303 -0.906
6.899 2.398 3.831
2.048 -8.632 8.546
8.332 -2.423 2.903
-0.150 9.240 8.145
7.531 2.601 9.394
2.803 5.271 10.775
-6.432 4.818 7.126
4.148 -1.196 6.328
-5.133 5.083 10.149
-3.376 2.679 6.333
5.040 0.803 9.451
-5.657 1.495 11.892
4.435 -4.096 7.877
4.201 -10.360 7.197
6.042 -2.086 10.692
-3.475 -0.530 10.467
-1.785 3.607 9.072
-4.666 -5.080 13.966
8.593 -3.897 5.735
-1.031 -1.934 6.158
6.971 -8.568 7.269
3.749 6.367 3.383
2.652 0.581 1.701
-1.333 -4.832 8.619
-2.184 -2.986 13.381
0.863 -3.657 4.076
9.468 -2.979 8.782
1.466 -0.419 8.925
0.523 1.387 13.140
4.940 9.603 7.321
4.615 3.829 5.306
5.558 2.022 1.092
1.141 -6.194 6.911
8.265 6.396 0.851
-3.387 6.389 5.449
5.218 7.066 10.155
7.414 8.242 5.613
2.332 -2.957 10.849
3.429 2.828 12.531
-0.890 11.978 6.962
-2.512 7.306 8.496
10.747 8.490 0.266
7.112 5.343 8.073
0.039 5.495 3.539
9.556 3.940 3.764
7.867 -0.197 5.160
1.880 13.770 7.035
1.646 7.505 6.354
9.457 0.731 7.898
11.738 1.914 2.340
1.041 2.606 4.781
11.214 -1.673 4.083
1.933 4.606 7.904
12.513 -1.409 7.105



No. 12
TlGaTe2 | the Alexandria database | PBE | optimized geometry; raw formation energy = -0.32 eV/atom
1.0
-6.843 1.319 3.661
-3.390 -5.657 -4.299
-3.991 -5.300 2.914
Tl Te Ga
2 4 2
Cartesian
0.000 0.000 0.000
-7.976 -3.075 3.128
-5.167 -1.310 2.195
-4.504 -4.593 -1.216
-7.094 -6.041 1.612
-11.684 -7.331 1.961
-5.117 -2.169 -0.319
-6.249 -6.563 -0.852



No. 13
TlGaTe3 | the Alexandria database | PBE | optimized geometry; raw formation energy = -0.21 eV/atom; offset from the most stable computed form = 15.3 meV/atom
1.0
4.345 0.168 0.266
0.042 6.243 0.281
0.667 2.226 6.946
Tl Ga Te
1 1 3
Cartesian
2.004 4.273 5.722
0.181 5.151 1.289
3.266 1.412 1.690
4.375 3.413 3.377
3.075 7.377 6.740



No. 14
Tl3Ga2Te4 | the Alexandria database | PBE | optimized geometry; raw formation energy = -0.30 eV/atom; offset from the most stable computed form = 0.0 meV/atom
1.0
7.071 -0.341 -0.244
-0.049 9.579 -0.272
-0.049 2.829 9.155
Tl Ga Te
6 4 8
Cartesian
6.733 9.775 1.624
3.777 7.209 -0.213
0.241 2.292 7.016
3.197 4.858 8.853
1.719 6.759 3.486
5.255 5.308 5.153
2.930 2.626 3.637
0.508 7.948 7.447
4.044 9.440 5.002
6.465 4.119 1.192
3.225 9.675 2.375
0.213 6.871 0.368
3.748 2.391 6.264
6.761 5.195 8.272
0.315 3.413 3.774
3.123 7.565 6.747
6.659 8.654 4.866
3.850 4.502 1.893



No. 15
TlGaTe3 | the Alexandria database | PBE | optimized geometry; raw formation energy = -0.23 eV/atom; offset from the most stable computed form = 0.0 meV/atom
1.0
1.380 -3.839 -4.345
3.747 -4.053 4.770
-8.024 -3.432 3.388
Tl Ga Te
2 2 6
Cartesian
1.887 -7.740 2.344
-3.417 -5.061 3.208
0.431 -2.015 1.997
-2.483 -10.223 2.892
-1.596 -6.592 5.735
-3.892 -8.301 1.750
-0.012 -4.656 2.039
-4.486 -4.936 -0.264
-0.767 -1.117 -0.180
-0.150 -5.976 -0.457



No. 16
Tl2GaTe | the Alexandria database | PBE | optimized geometry; raw formation energy = 0.06 eV/atom; offset from the most stable computed form = 152.8 meV/atom
1.0
6.844 0.000 0.000
0.000 6.844 0.000
3.422 3.422 6.507
Tl Te Ga
4 2 2
Cartesian
4.915 1.711 1.627
1.929 5.133 1.627
5.133 5.352 4.881
8.556 8.337 4.881
0.000 0.000 0.000
6.844 3.422 3.254
3.422 3.422 0.000
3.422 6.844 3.254



No. 17
Tl3Ga12Te5 | the Alexandria database | PBE | optimized geometry; raw formation energy = 0.07 eV/atom
1.0
14.688 0.000 0.000
-4.896 13.848 0.000
-4.896 -6.924 11.993
Tl Te Ga
12 20 48
Cartesian
8.568 4.328 1.499
8.568 9.521 1.499
-1.224 6.059 7.496
1.224 -0.866 4.497
11.016 0.000 2.998
1.224 6.924 2.998
3.672 0.000 8.995
-6.120 6.924 8.995
3.672 7.790 7.496
6.120 0.866 4.497
-3.672 -2.597 10.494
-3.672 2.597 10.494
-1.224 3.462 2.998
-2.448 6.924 0.000
0.000 0.000 0.000
3.672 2.597 1.499
4.896 -3.462 5.996
4.896 6.924 0.000
-3.672 7.790 4.497
6.120 -4.328 10.494
6.120 6.059 4.497
1.224 -3.462 8.995
3.672 10.386 2.998
2.448 3.462 5.996
7.344 0.000 0.000
-2.448 -3.462 5.996
-1.224 0.866 7.496
-1.224 11.252 1.499
-4.896 3.462 5.996
8.568 -0.866 7.496
1.224 4.328 10.494
6.120 3.462 8.995
9.721 1.597 0.813
0.071 4.965 5.020
10.673 3.017 3.188
6.463 2.210 1.790
1.735 5.553 7.991
10.031 6.900 1.995
-0.881 7.732 4.978
-4.015 11.639 1.790
0.713 8.295 7.991
7.105 6.949 1.995
7.415 3.556 4.207
7.415 12.251 0.813
-4.183 6.235 6.810
2.687 5.209 1.019
-4.967 10.292 4.207
2.519 -1.959 6.973
-0.713 0.682 2.808
2.687 8.664 0.976
6.463 10.831 3.188
-0.239 5.184 0.976
-3.161 7.606 9.185
3.329 6.117 4.978
6.631 7.613 6.810
5.135 -1.715 10.974
1.567 0.807 7.015
-1.735 -0.689 5.183
-0.239 8.640 1.019
-1.567 -3.907 8.805
8.057 -0.682 2.808
5.135 1.740 11.017
2.209 -1.740 11.017
2.377 8.883 5.020
5.609 6.242 9.185
9.863 -3.368 7.786
9.079 0.689 5.183
-2.519 -5.327 11.180
2.209 1.715 10.974
4.183 -1.371 4.001
-2.209 -0.025 9.998
-2.519 3.368 7.786
8.911 -4.714 10.203
5.777 -0.807 7.015
-1.567 4.714 10.203
-5.135 0.025 9.998
3.161 1.371 4.001
-5.777 3.907 8.805
4.825 1.959 6.973
-4.825 5.327 11.180